A relaxed structure of Cd3BiPd4, computed with GGA-PBE.

Computed properties:
space-group type = I4/mmm (139)
size of the total moment = 0.0 μB/cell
formation energy = -0.335 eV/atom

Cell lengths 4.7871, 4.7872, 7.2877 Å; angles 109.15, 109.15, 90.05 degrees
Fractional positions:
Cd1 0.0000 0.5000 0.0000
Pd1 0.8732 0.8731 0.7462
Pd2 0.6268 0.6265 0.2538
Pd3 0.1268 0.1269 0.2538
Bi1 0.5000 0.0000 0.0000
Cd2 0.2459 0.7461 0.4919
Cd3 0.7541 0.2539 0.5081
Pd4 0.3732 0.3735 0.7462

---

A relaxed structure of CdBiPd2, computed with GGA-PBE.

Computed properties:
space-group type = P4/mmm (123)
size of the total moment = 0.0 μB/cell
formation energy = -0.304 eV/atom

Cell lengths 3.3711, 3.3711, 6.8752 Å; angles 90.00, 90.00, 90.00 degrees
Fractional positions:
Cd1 0.5000 0.5000 0.0000
Pd1 0.0000 0.0000 0.7702
Bi1 0.5000 0.5000 0.5000
Pd2 0.0000 0.0000 0.2298

---

A relaxed structure of Cd2BiPd7, computed with GGA-PBE.

Computed properties:
space-group type = Cmmm (65)
size of the total moment = 0.0 μB/cell
formation energy = 0.189 eV/atom

Cell lengths 4.3225, 7.8819, 7.8819 Å; angles 124.23, 90.00, 90.00 degrees
Fractional positions:
Pd1 0.5000 0.7145 0.9177
Pd2 0.5000 0.9177 0.7145
Cd1 0.5000 0.3008 0.6992
Pd3 0.0000 0.8100 0.1900
Pd4 0.5000 0.2855 0.0823
Pd5 0.5000 0.5000 0.5000
Pd6 0.0000 0.1900 0.8100
Bi1 0.0000 0.0000 0.0000
Pd7 0.5000 0.0823 0.2855
Cd2 0.5000 0.6992 0.3008

---

A relaxed structure of Cd3BiPd6, computed with GGA-PBE.

Computed properties:
space-group type = P2_1/m (11)
size of the total moment = 0.0 μB/cell
formation energy = -0.327 eV/atom

Cell lengths 4.2470, 8.8868, 9.4133 Å; angles 94.11, 90.00, 90.00 degrees
Fractional positions:
Pd1 0.7500 0.3655 0.3013
Bi1 0.2500 0.9371 0.6279
Pd2 0.2500 0.2527 0.5081
Pd3 0.2500 0.6345 0.6987
Pd4 0.2500 0.8465 0.2906
Pd5 0.7500 0.5448 0.8987
Cd1 0.2500 0.5500 0.3984
Cd2 0.7500 0.4500 0.6016
Cd3 0.2500 0.7512 0.9867
Pd6 0.2500 0.4552 0.1013
Pd7 0.7500 0.8410 0.8007
Pd8 0.2500 0.0536 0.9111
Cd4 0.7500 0.2488 0.0133
Pd9 0.2500 0.1590 0.1993
Pd10 0.7500 0.1535 0.7094
Bi2 0.7500 0.0629 0.3721
Pd11 0.7500 0.7473 0.4919
Cd5 0.2500 0.3474 0.8085
Cd6 0.7500 0.6526 0.1915
Pd12 0.7500 0.9464 0.0889

---

A relaxed structure of CdBi3Pd3, computed with GGA-PBE.

Computed properties:
space-group type = C2/m (12)
size of the total moment = 0.0 μB/cell
ΔE to the lowest computed polymorph = 27 meV per atom
formation energy = -0.205 eV/atom

Cell lengths 6.7922, 6.7922, 7.1925 Å; angles 88.67, 88.67, 101.87 degrees
Fractional positions:
Bi1 0.5853 0.5853 0.2990
Bi2 0.8422 0.1578 0.5000
Cd1 0.7502 0.7502 0.8393
Pd1 0.4930 0.0204 0.7159
Bi3 0.7656 0.2344 0.0000
Pd2 0.5070 0.9796 0.2841
Bi4 0.4147 0.4147 0.7010
Pd3 0.9135 0.9135 0.1824
Pd4 0.0865 0.0865 0.8176
Bi5 0.1578 0.8422 0.5000
Pd5 0.0204 0.4930 0.7159
Cd2 0.2498 0.2498 0.1607
Pd6 0.9796 0.5070 0.2841
Bi6 0.2344 0.7656 0.0000

---

A relaxed structure of CdBi2Pd6, computed with GGA-PBE.

Computed properties:
space-group type = Immm (71)
size of the total moment = 0.0 μB/cell
formation energy = -0.179 eV/atom

Cell lengths 4.7103, 7.7540, 6.5513 Å; angles 126.28, 111.04, 90.00 degrees
Fractional positions:
Pd1 0.1621 0.4659 0.3239
Pd2 0.1621 0.8580 0.3239
Pd3 0.8379 0.5341 0.6761
Cd1 0.0000 0.0000 0.0000
Pd4 0.5000 0.1957 0.0000
Bi1 0.3259 0.3259 0.6519
Pd5 0.5000 0.8043 0.0000
Bi2 0.6741 0.6741 0.3481
Pd6 0.8379 0.1420 0.6761

---

A relaxed structure of CdBi2Pd7, computed with GGA-PBE.

Computed properties:
space-group type = Cmmm (65)
size of the total moment = 0.0 μB/cell
formation energy = 0.014 eV/atom

Cell lengths 3.0769, 9.0551, 9.0551 Å; angles 125.73, 90.00, 90.00 degrees
Fractional positions:
Pd1 0.5000 0.3107 0.1293
Pd2 0.5000 0.5000 0.5000
Pd3 0.5000 0.1293 0.3107
Pd4 0.5000 0.8707 0.6893
Cd1 0.0000 0.0000 0.0000
Pd5 0.5000 0.6893 0.8707
Bi1 0.5000 0.3216 0.6784
Bi2 0.5000 0.6784 0.3216
Pd6 0.0000 0.8194 0.1806
Pd7 0.0000 0.1806 0.8194

---

A relaxed structure of CdBi5Pd3, computed with GGA-PBE.

Computed properties:
space-group type = C2/m (12)
size of the total moment = 0.0 μB/cell
formation energy = -0.108 eV/atom

Cell lengths 7.2088, 7.2088, 11.3989 Å; angles 66.28, 66.28, 85.87 degrees
Fractional positions:
Bi1 0.5900 0.5900 0.5978
Bi2 0.4282 0.9735 0.3770
Cd1 0.9996 0.9996 0.7456
Pd1 0.0000 0.0000 0.0000
Bi3 0.2970 0.2970 0.9453
Pd2 0.0000 0.0000 0.5000
Bi4 0.5718 0.0265 0.6230
Bi5 0.7030 0.7030 0.0547
Bi6 0.0265 0.5718 0.6230
Pd3 0.2971 0.2971 0.2014
Bi7 0.4100 0.4100 0.4022
Bi8 0.9735 0.4282 0.3770
Pd4 0.2775 0.2775 0.7102
Bi9 0.2874 0.7126 0.0000
Pd5 0.7029 0.7029 0.7986
Cd2 0.0004 0.0004 0.2544
Pd6 0.7225 0.7225 0.2898
Bi10 0.7126 0.2874 0.0000

---

A relaxed structure of CdBi3Pd3, computed with GGA-PBE.

Computed properties:
space-group type = R-3 (148)
size of the total moment = 0.0 μB/cell
ΔE to the lowest computed polymorph = 0 meV per atom
formation energy = -0.232 eV/atom

Cell lengths 7.3876, 7.3876, 7.3876 Å; angles 68.24, 68.24, 68.24 degrees
Fractional positions:
Bi1 0.8233 0.3633 0.1108
Bi2 0.3633 0.1108 0.8233
Pd1 0.6857 0.0523 0.4565
Pd2 0.5435 0.3143 0.9477
Bi3 0.1767 0.6367 0.8892
Bi4 0.6367 0.8892 0.1767
Bi5 0.1108 0.8233 0.3633
Pd3 0.4565 0.6857 0.0523
Pd4 0.3143 0.9477 0.5435
Bi6 0.8892 0.1767 0.6367
Pd5 0.0523 0.4565 0.6857
Cd1 0.3421 0.3421 0.3421
Pd6 0.9477 0.5435 0.3143
Cd2 0.6579 0.6579 0.6579

---

A relaxed structure of Cd4BiPd, computed with GGA-PBE.

Computed properties:
space-group type = C2/m (12)
size of the total moment = 0.0 μB/cell
formation energy = -0.100 eV/atom

Cell lengths 5.9391, 7.4092, 7.7816 Å; angles 118.43, 108.58, 90.00 degrees
Fractional positions:
Cd1 0.5791 0.3215 0.2298
Cd2 0.0000 0.8029 0.0000
Bi1 0.8091 0.7775 0.5551
Pd1 0.2571 0.4849 0.9697
Bi2 0.1909 0.2225 0.4449
Cd3 0.7903 0.3190 0.6380
Cd4 0.4209 0.6785 0.7702
Cd5 0.2097 0.6810 0.3620
Pd2 0.7429 0.5151 0.0303
Cd6 0.0000 0.1971 0.0000
Cd7 0.4209 0.0917 0.7702
Cd8 0.5791 0.9083 0.2298

---

A relaxed structure of CdBi6Pd12, computed with GGA-PBE.

Computed properties:
space-group type = R-3 (148)
size of the total moment = 0.0 μB/cell
formation energy = -0.177 eV/atom

Cell lengths 7.5618, 7.5618, 7.5618 Å; angles 104.34, 104.34, 104.34 degrees
Fractional positions:
Pd1 0.8179 0.4692 0.3805
Pd2 0.7737 0.0495 0.2458
Pd3 0.6195 0.1821 0.5308
Pd4 0.9505 0.7542 0.2263
Bi1 0.5329 0.7851 0.8681
Pd5 0.2458 0.7737 0.0495
Bi2 0.1319 0.4671 0.2149
Cd1 0.0000 0.0000 0.0000
Bi3 0.2149 0.1319 0.4671
Bi4 0.4671 0.2149 0.1319
Pd6 0.2263 0.9505 0.7542
Pd7 0.4692 0.3805 0.8179
Bi5 0.7851 0.8681 0.5329
Pd8 0.1821 0.5308 0.6195
Pd9 0.5308 0.6195 0.1821
Pd10 0.3805 0.8179 0.4692
Pd11 0.7542 0.2263 0.9505
Bi6 0.8681 0.5329 0.7851
Pd12 0.0495 0.2458 0.7737

---

A relaxed structure of Cd2BiPd2, computed with GGA-PBE.

Computed properties:
space-group type = I4/mmm (139)
size of the total moment = 0.0 μB/cell
ΔE to the lowest computed polymorph = 108 meV per atom
formation energy = -0.154 eV/atom

Cell lengths 3.9536, 3.9536, 7.3379 Å; angles 74.37, 74.37, 90.00 degrees
Fractional positions:
Bi1 0.0000 0.0000 0.0000
Pd1 0.4001 0.4001 0.1999
Pd2 0.5999 0.5999 0.8001
Cd1 0.2500 0.7500 0.5000
Cd2 0.7500 0.2500 0.5000

---

- Which value of size of the total moment does entry 6 give?
  0.0 μB/cell

---

- Which formula does entry 9 have?
  CdBi3Pd3